[1]
This record from Alexandria describes SmDyCuGe after structural relaxation. The functional is PBE.

a = 5.0258 Å, b = 5.0258 Å, c = 5.0258 Å
α = 60.00°, β = 60.00°, γ = 60.00°
Closest atoms and distances in Å follow each position.
Element x y z (fractional)
Ge 0.2500 0.2500 0.2500  4 Dy 3.08, 4 Sm 3.08
Dy 0.0000 0.0000 0.0000  4 Cu 3.08, 4 Ge 3.08
Cu 0.7500 0.7500 0.7500  4 Sm 3.08, 4 Dy 3.08
Sm 0.5000 0.5000 0.5000  4 Ge 3.08, 4 Cu 3.08

Results
Raw total energy ... -4.9936 eV/atom
Energy relative to the elements ... -0.485 eV per atom


[2]
This record from Alexandria describes SmDyCu2Ge2 after structural relaxation. The functional is PBE.

a = 4.2607 Å, b = 4.2607 Å, c = 7.5311 Å
α = 90.00°, β = 90.00°, γ = 120.00°
Closest atoms and distances in Å follow each position.
Element x y z (fractional)
Ge 0.3333 0.6667 0.2558  3 Cu 2.46
Ge 0.6667 0.3333 0.7442  3 Cu 2.46
Dy 0.0000 0.0000 0.5000  6 Cu 3.05, 6 Ge 3.07
Cu 0.6667 0.3333 0.2616  3 Ge 2.46
Sm 0.0000 0.0000 0.0000  6 Ge 3.12, 6 Cu 3.15
Cu 0.3333 0.6667 0.7384  3 Ge 2.46

Results
Raw total energy ... -5.1421 eV/atom
Energy relative to the elements ... -0.684 eV per atom


[3]
This record from Alexandria describes SrDyCuGe after structural relaxation. The functional is PBE.

a = 5.1609 Å, b = 5.1609 Å, c = 5.1609 Å
α = 60.00°, β = 60.00°, γ = 60.00°
Closest atoms and distances in Å follow each position.
Element x y z (fractional)
Ge 0.7500 0.7500 0.7500  4 Dy 3.16, 4 Sr 3.16
Cu 0.2500 0.2500 0.2500  4 Sr 3.16, 4 Dy 3.16
Sr 0.0000 0.0000 0.0000  4 Cu 3.16, 4 Ge 3.16
Dy 0.5000 0.5000 0.5000  4 Ge 3.16, 4 Cu 3.16

Results
Raw total energy ... -4.0954 eV/atom
Energy relative to the elements ... -0.346 eV per atom


[4]
This record from Alexandria describes TbDyCuGe after structural relaxation. The functional is PBE.

a = 4.9795 Å, b = 4.9795 Å, c = 4.9795 Å
α = 60.00°, β = 60.00°, γ = 60.00°
Closest atoms and distances in Å follow each position.
Element x y z (fractional)
Tb 0.0000 0.0000 0.0000  4 Ge 3.05, 4 Cu 3.05
Dy 0.5000 0.5000 0.5000  4 Cu 3.05, 4 Ge 3.05
Ge 0.7500 0.7500 0.7500  4 Dy 3.05, 4 Tb 3.05
Cu 0.2500 0.2500 0.2500  4 Tb 3.05, 4 Dy 3.05

Results
Raw total energy ... -4.9862 eV/atom
Energy relative to the elements ... -0.500 eV per atom


[5]
This record from Alexandria describes Tb2DyCu2Ge2 after structural relaxation. The functional is PBE.

a = 4.2091 Å, b = 4.2091 Å, c = 10.3626 Å
α = 78.28°, β = 78.28°, γ = 60.00°
Closest atoms and distances in Å follow each position.
Element x y z (fractional)
Tb 0.1218 0.1218 0.6345  3 Ge 3.01, 3 Cu 3.07
Tb 0.8782 0.8782 0.3655  3 Ge 3.01, 3 Cu 3.07
Cu 0.3930 0.3930 0.8211  3 Ge 2.43
Ge 0.7298 0.7298 0.8105  3 Cu 2.43
Ge 0.2702 0.2702 0.1895  3 Cu 2.43
Cu 0.6070 0.6070 0.1789  3 Ge 2.43
Dy 0.0000 0.0000 0.0000  6 Cu 3.03, 6 Ge 3.09

Results
Raw total energy ... -4.9728 eV/atom
Energy relative to the elements ... -0.503 eV per atom


[6]
This record from Alexandria describes TbDyCu2Ge2 after structural relaxation. The functional is PBE.

a = 4.2432 Å, b = 4.2432 Å, c = 7.4305 Å
α = 90.00°, β = 90.00°, γ = 120.00°
Closest atoms and distances in Å follow each position.
Element x y z (fractional)
Cu 0.3333 0.6667 0.7469  3 Ge 2.45
Dy 0.0000 0.0000 0.5000  6 Cu 3.06, 6 Ge 3.07
Tb 0.0000 0.0000 0.0000  6 Ge 3.08, 6 Cu 3.09
Ge 0.3333 0.6667 0.2511  3 Cu 2.45
Cu 0.6667 0.3333 0.2531  3 Ge 2.45
Ge 0.6667 0.3333 0.7489  3 Cu 2.45

Results
Raw total energy ... -5.1325 eV/atom
Energy relative to the elements ... -0.689 eV per atom